4
Lattice="-1.1564 2.5827 -1.2129 -2.6096 1.1914 1.1176 2.3802 4.9992 4.4687" Properties=species:S:1:pos:R:3 comment="Mn2PdO (PBE with a Hubbard U, relaxed)" total_energy_ev_per_fu=-28.20 pbc="T T T"
Mn -0.8491 6.7757 3.5155
Mn -0.5366 1.9977 0.8580
O 0.0000 0.0000 0.0000
Pd -0.6929 4.3867 2.1867